Density functional theory data (PBE) for SrCoC2 after structural relaxation.

Properties
**DFT formation energy**: 0.044 eV/atom

Cell lengths 3.9375, 3.9375, 14.4612 Å; angles 90.00, 90.00, 90.00 degrees
Closest atoms and distances in Å follow each position.
Element x y z (fractional)
Sr (0.1409, 0.1454, 0.0000)  8 C 2.77-2.87, 3 Co 3.08-3.09
Sr (0.1454, 0.8591, 0.7500)  8 C 2.77-2.87, 3 Co 3.08-3.09
Sr (0.8546, 0.1409, 0.2500)  8 C 2.77-2.87, 3 Co 3.08-3.09
Sr (0.8591, 0.8546, 0.5000)  8 C 2.77-2.87, 3 Co 3.08-3.09
Co (0.3588, 0.3647, 0.5958)  4 C 1.94-2.07
Co (0.3647, 0.6412, 0.3458)  4 C 1.94-2.07
Co (0.6353, 0.3588, 0.8458)  4 C 1.94-2.07
Co (0.6412, 0.6353, 0.0958)  4 C 1.94-2.07
C (0.1384, 0.6380, 0.1366)  1 C 1.35
C (0.3436, 0.6427, 0.2116)  1 C 1.35
C (0.3573, 0.3436, 0.4616)  1 C 1.35
C (0.3620, 0.1384, 0.3866)  1 C 1.35
C (0.6380, 0.8616, 0.8866)  1 C 1.35
C (0.6427, 0.6564, 0.9616)  1 C 1.35
C (0.6564, 0.3573, 0.7116)  1 C 1.35
C (0.8616, 0.3620, 0.6366)  1 C 1.35

***

Density functional theory data (PBE) for ScTa2AsAu after structural relaxation.

Properties
**DFT formation energy**: 0.476 eV/atom

Cell lengths 4.7387, 4.7387, 4.8459 Å; angles 90.00, 90.00, 90.00 degrees
Closest atoms and distances in Å follow each position.
Element x y z (fractional)
Sc (0.0000, 0.0000, 0.0000)  2 As 2.42
Ta (0.0000, 0.5000, 0.5000)  2 As 2.37
Ta (0.5000, 0.0000, 0.5000)  2 As 2.37
As (0.0000, 0.0000, 0.5000)  4 Ta 2.37, 2 Sc 2.42
Au (0.5000, 0.5000, 0.0000)  4 Sc 3.35, 8 Ta 3.39

***

Density functional theory data (PBE) for Sr4LiSm2Ta2O12 after structural relaxation.

Properties
**Formation energy without anion corrections**: -2.88 eV per atom

Cell lengths 5.9570, 6.1638, 8.4643 Å; angles 87.90, 88.92, 88.94 degrees
Closest atoms and distances in Å follow each position.
Element x y z (fractional)
Sr (0.0000, 0.0000, 0.0000)  6 O 2.45-2.73, 1 Li 2.65
Sr (0.0008, 0.0538, 0.5345)  6 O 2.56-2.83
Sr (0.5315, 0.5603, 0.5410)  5 O 2.53-2.77
Sr (0.5372, 0.6511, 0.0521)  4 O 2.50-2.60, 1 Li 2.78
Li (0.1731, 0.3762, 0.0735)  3 O 1.81-1.86
Sm (0.0168, 0.5628, 0.7855)  6 O 2.25-2.40
Sm (0.5139, 0.1091, 0.2948)  6 O 2.32-2.45
Ta (0.0186, 0.6123, 0.3076)  6 O 1.97-2.11
Ta (0.5089, 0.0810, 0.7939)  6 O 2.01-2.07
O (0.1116, 0.6212, 0.5293)  1 Ta 1.97
O (0.1991, 0.8897, 0.2564)  1 Ta 2.06
O (0.2660, 0.2923, 0.8742)  1 Li 1.85, 1 Ta 2.05
O (0.2946, 0.8290, 0.8283)  1 Ta 2.04
O (0.3071, 0.4327, 0.2575)  1 Li 1.81
O (0.4190, 0.1256, 0.5672)  1 Ta 2.01
O (0.5935, 0.0522, 0.0298)  1 Ta 2.07
O (0.7428, 0.3138, 0.7509)  1 Ta 2.04
O (0.7463, 0.8059, 0.3431)  1 Ta 2.02
O (0.7575, 0.8528, 0.7567)  1 Ta 2.05
O (0.8229, 0.3501, 0.3494)  1 Ta 2.03
O (0.9551, 0.5964, 0.0646)  1 Li 1.86

***

Density functional theory data (PBE) for BaSiP after structural relaxation.

Properties
**Formation energy without anion corrections**: -0.27 eV per atom

Cell lengths 6.2080, 6.1549, 3.5151 Å; angles 74.31, 72.65, 33.03 degrees
Closest atoms and distances in Å follow each position.
Element x y z (fractional)
Ba (0.0000, 0.0000, 0.0000)  5 Si 3.20-3.55, 5 P 3.23-3.52, 4 Ba 3.52
Si (0.7177, 0.7177, 0.2823)  4 P 2.54-2.66
P (0.2852, 0.2852, 0.7148)  4 Si 2.54-2.66

***

no.,E_tot (eV per atom)
1,-6.765
2,-7.117
3,-7.707
4,-4.521